# LiTbZn3 (PBE-GGA, relaxed)
data_LiTbZn3
_cell_length_a 5.947
_cell_length_b 5.945
_cell_length_c 5.953
_cell_angle_alpha 90.00
_cell_angle_beta 90.00
_cell_angle_gamma 61.78
_space_group_name_H-M_alt 'P 1'
_space_group_IT_number 1
_space_group_name_Hall 'P 1'
loop_
_atom_site_label
_atom_site_type_symbol
_atom_site_fract_x
_atom_site_fract_y
_atom_site_fract_z
Li1 Li 0.881 0.085 0.552
Li2 Li 0.680 0.881 0.052
Zn1 Zn 0.497 0.266 0.302
Zn2 Zn 0.497 0.266 0.803
Zn3 Zn 0.122 0.324 0.552
Zn4 Zn 0.064 0.700 0.303
Zn5 Zn 0.064 0.700 0.802
Zn6 Zn 0.439 0.641 0.052
Tb1 Tb 0.013 0.215 0.052
Tb2 Tb 0.548 0.750 0.552
# **E**: -2.276 eV per atom
# **Symmetry**: P2_1/m, No. 11